Material: Mg2SbOs
Method: DFT, SCAN
State: PBEsol geometry

Its uncorrected energy is -29.669 eV per atom. As for the calculated volume: 80.9 Å³/cell. The calculation puts the density of states at the Fermi level at 0.415 states/eV per atom. The calculation puts the uncorrected formation energy at 103 meV per atom.

The space group is P4mm (No. 99) and the conventional cell measures 3.166, 3.166 and 8.071 Å, with angles of 90.00, 90.00 and 90.00 degrees. The distinct sites, in fractional coordinates, are Mg at (0.000, 0.000, 0.000), Mg at (0.500, 0.500, 0.296), Sb at (0.500, 0.500, 0.690) and Os at (0.000, 0.000, 0.506).